Here is a relaxed structure of ZnRuN3 from Alexandria via LeMat-Bulk. Energies are from PBE-GGA.

Results
Its uncorrected formation energy is 6.6 eV/f.u. Its density of states at the Fermi level is 2.8 states/eV/f.u. For the total energy, the calculation gives -28.93 eV per cell.

```
5
Lattice="3.858 0.000 0.000 0.000 3.858 0.000 0.000 0.000 3.858" Properties=species:S:1:pos:R:3 pbc="T T T"
N 0.000 0.000 1.929
N 0.000 1.929 0.000
N 1.929 0.000 0.000
Zn 1.929 1.929 1.929
Ru 0.000 0.000 0.000
```

Here is a relaxed structure of ZnRu2N from Alexandria via LeMat-Bulk. Energies are from PBE-GGA.

Results
Its uncorrected formation energy is 1.1 eV/f.u. Its density of states at the Fermi level is 2.6 states/eV/f.u. For the total energy, the calculation gives -54.01 eV per cell.

```
8
Lattice="-5.917 -1.722 1.463 1.674 -6.095 -0.404 -1.489 -3.905 3.090" Properties=species:S:1:pos:R:3 pbc="T T T"
Ru -5.007 -9.123 3.287
Ru -0.693 -5.183 0.858
Ru -3.234 -2.632 1.482
Ru -2.531 -6.506 2.672
N -2.122 -3.909 0.530
N -0.969 -6.954 1.608
Zn 0.000 0.000 0.000
Zn -4.764 -4.768 2.542
```

Here is a relaxed structure of Zn2RuN3 from Alexandria via LeMat-Bulk. Energies are from PBE-GGA.

Results
Its uncorrected formation energy is 1.6 eV/f.u. Its density of states at the Fermi level is 2.4 states/eV/f.u. For the total energy, the calculation gives -70.47 eV per cell.

```
12
Lattice="2.824 -4.938 0.000 2.824 4.938 0.000 0.000 0.000 5.344" Properties=species:S:1:pos:R:3 pbc="T T T"
Zn 1.919 1.656 2.532
Zn 1.919 -1.656 2.532
Zn 3.729 1.656 5.204
Zn 3.729 -1.656 5.204
N 1.805 1.577 4.566
N 1.805 -1.577 4.566
N 3.843 1.577 1.894
N 3.843 -1.577 1.894
N 4.807 0.000 4.413
N 0.841 0.000 1.741
Ru 4.702 0.000 2.469
Ru 0.947 0.000 5.141
```